A relaxed structure of Sr2SmTmS4, computed with PBE.

Values from the calculation:
Formation energy without anion corrections: -2.0256 eV/atom
E: -5.659 eV/atom
Crystal system: monoclinic

abc: 7.0163 4.0478 7.1753
angles: 90.00 108.98 90.00
Closest atoms and distances in Å follow each position.
Fractional coordinates of all 8 atoms:
Sr  0.0000  0.0000  0.0000  6 S 3.00
Sr  0.5000  0.5000  0.0000  6 S 2.94
Sm  0.0000  0.5000  0.5000  6 S 2.84
Tm  0.5000  0.0000  0.5000  6 S 2.77-2.78
S  0.2521  0.0000  0.7323  1 Tm 2.77, 2 Sm 2.84, 3 Sr 2.94-3.00
S  0.2648  0.5000  0.2727  2 Tm 2.78, 1 Sm 2.84, 3 Sr 2.94-3.00
S  0.7352  0.5000  0.7273  2 Tm 2.78, 1 Sm 2.84, 3 Sr 2.94-3.00
S  0.7479  0.0000  0.2677  1 Tm 2.77, 2 Sm 2.84, 3 Sr 2.94-3.00